Entry 1:
The following is a PBE calculation of AcZrSe4 after structural relaxation, from the Alexandria database.

Cell: 6.879 6.879 4.225 Å, 90.00 90.00 90.49°
Fractional coordinates of all 6 atoms:
Ac  0.000  0.000  0.000
Zr  0.500  0.500  0.500
Se  0.227  0.227  0.500
Se  0.320  0.680  0.000
Se  0.680  0.320  0.000
Se  0.773  0.773  0.500

Values from the calculation:
energy relative to the elements, uncorrected = -1221 meV/atom
spin magnetization = 0.00 μB per atom
DOS(E_F) = 6.5 states/eV/cell
V = 199.9 Å³ per cell
VASP energy = -5.653 eV per atom



Entry 2:
The following is a PBE calculation of Ac5Zr2Se12 after structural relaxation, from the Alexandria database.

Cell: 9.398 9.398 9.811 Å, 105.57 105.57 48.43°
Fractional coordinates of all 19 atoms:
Ac  0.000  0.000  0.000
Ac  0.300  0.300  0.146
Ac  0.313  0.313  0.664
Ac  0.687  0.687  0.336
Ac  0.700  0.700  0.854
Zr  0.251  0.749  0.500
Zr  0.749  0.251  0.500
Se  0.001  0.001  0.314
Se  0.089  0.583  0.417
Se  0.101  0.599  0.930
Se  0.401  0.899  0.070
Se  0.417  0.911  0.583
Se  0.496  0.496  0.299
Se  0.504  0.504  0.701
Se  0.583  0.089  0.417
Se  0.599  0.101  0.930
Se  0.899  0.401  0.070
Se  0.911  0.417  0.583
Se  0.999  0.999  0.686

Values from the calculation:
energy relative to the elements, uncorrected = -1728 meV/atom
spin magnetization = 0.00 μB per atom
DOS(E_F) = 11.6 states/eV/cell
V = 619.6 Å³ per cell
VASP energy = -5.910 eV per atom